Density functional theory data (PBE) for a geometry-optimized PmYSc2S4 structure.

Calculated values
Volume in Å³/cell: 160
E_form (uncorrected) in eV per atom: -1.924
Energy in eV per cell: -55.8
Crystal system: monoclinic

abc: 6.626 3.794 6.717
angles: 90.00 108.97 90.00
Space group P2/m (No. 10)
Unique sites:
Pm1 0.000 0.000 0.000 (multiplicity 1)
Y1 0.500 0.500 0.000 (multiplicity 1)
Sc1 0.000 0.500 0.500 (multiplicity 1)
Sc2 0.500 0.000 0.500 (multiplicity 1)
S1 0.248 0.000 0.729 (multiplicity 2)
S2 0.263 0.500 0.274 (multiplicity 2)